A plane-wave DFT calculation with PBE-GGA was carried out for a relaxed structure of ZnHg2Se.

Cell and atoms, written as extended XYZ:
```
4
Lattice="3.972 0.000 0.000 0.000 3.972 0.000 0.000 0.000 6.422" Properties=species:S:1:pos:R:3 pbc="T T T"
Zn 0.000 0.000 0.000
Hg 0.000 1.986 3.211
Hg 1.986 0.000 3.211
Se 1.986 1.986 0.000
```

Its density of states at the Fermi level is 1.36 states/eV/f.u. The value obtained for the excess energy over the best structure of this formula in the dataset is 251 meV/atom.



A plane-wave DFT calculation with PBE-GGA was carried out for a relaxed structure of Zn2HgSe.

Cell and atoms, written as extended XYZ:
```
4
Lattice="3.805 -3.816 0.000 3.805 3.816 0.000 0.000 0.000 2.742" Properties=species:S:1:pos:R:3 pbc="T T T"
Zn 1.902 1.908 0.000
Zn 1.902 -1.908 0.000
Hg 0.000 0.000 1.371
Se 3.805 0.000 1.371
```

Its density of states at the Fermi level is 1.80 states/eV/f.u. The value obtained for the excess energy over the best structure of this formula in the dataset is 267 meV/atom.



A plane-wave DFT calculation with PBE-GGA was carried out for a relaxed structure of ZnHgSe2.

Cell and atoms, written as extended XYZ:
```
32
Lattice="5.404 -6.160 0.000 5.404 6.160 0.000 -2.088 0.000 13.373" Properties=species:S:1:pos:R:3 pbc="T T T"
Zn 2.267 3.808 11.501
Zn 2.076 1.410 8.524
Zn 5.408 3.808 8.559
Zn 3.120 -1.410 1.837
Zn 5.600 1.410 11.536
Zn 3.311 -3.808 4.815
Zn 6.644 -1.410 4.849
Zn 6.452 -3.808 1.872
Hg -0.209 0.645 11.578
Hg 0.835 -0.645 4.892
Hg 4.352 1.509 5.274
Hg 5.411 1.509 1.413
Hg 3.308 -1.509 11.961
Hg 4.367 -1.509 8.099
Hg 7.885 0.645 8.482
Hg 8.929 -0.645 1.795
Se 2.661 3.501 3.323
Se 3.838 5.158 10.030
Se 2.550 0.719 0.688
Se 3.522 2.944 7.192
Se 1.506 -0.719 7.374
Se 4.154 2.944 12.868
Se 7.102 3.501 3.363
Se 3.838 0.145 10.030
Se 4.882 -0.145 3.343
Se 1.617 -3.501 10.010
Se 4.566 -2.944 0.506
Se 7.214 0.719 5.999
Se 5.198 -2.944 6.181
Se 6.170 -0.719 12.686
Se 4.882 -5.158 3.343
Se 6.058 -3.501 10.050
```

Its density of states at the Fermi level is 0.00 states/eV/f.u.



A plane-wave DFT calculation with PBE-GGA was carried out for a relaxed structure of Zn2HgSe.

Cell and atoms, written as extended XYZ:
```
4
Lattice="2.875 0.000 0.000 0.000 3.691 0.000 0.000 0.000 7.600" Properties=species:S:1:pos:R:3 pbc="T T T"
Zn 0.000 0.000 1.868
Zn 0.000 0.000 5.733
Hg 1.438 1.846 0.000
Se 0.000 1.846 3.800
```

Its density of states at the Fermi level is 1.30 states/eV/f.u. The value obtained for the excess energy over the best structure of this formula in the dataset is 121 meV/atom.



A plane-wave DFT calculation with PBE-GGA was carried out for a relaxed structure of ZnHg2Se.

Cell and atoms, written as extended XYZ:
```
4
Lattice="-1.905 3.315 4.211 1.905 -3.315 4.211 1.905 3.315 -4.211" Properties=species:S:1:pos:R:3 pbc="T T T"
Zn 0.000 0.000 0.000
Hg 0.000 0.000 3.939
Hg 0.000 3.315 2.110
Se 1.905 0.000 1.492
```

Its density of states at the Fermi level is 1.31 states/eV/f.u. The value obtained for the excess energy over the best structure of this formula in the dataset is 193 meV/atom.



A plane-wave DFT calculation with PBE-GGA was carried out for a relaxed structure of ZnHg2Se.

Cell and atoms, written as extended XYZ:
```
4
Lattice="5.025 0.000 0.000 0.000 3.973 0.000 -1.708 0.000 4.742" Properties=species:S:1:pos:R:3 pbc="T T T"
Zn 0.000 0.000 0.000
Hg -0.091 1.987 3.603
Hg 3.408 1.987 1.139
Se 1.659 0.000 2.371
```

Its density of states at the Fermi level is 0.77 states/eV/f.u. The value obtained for the excess energy over the best structure of this formula in the dataset is 208 meV/atom.



A plane-wave DFT calculation with PBE-GGA was carried out for a relaxed structure of ZnHgSe2.

Cell and atoms, written as extended XYZ:
```
4
Lattice="2.116 1.221 6.970 -2.116 1.221 6.970 0.000 -2.443 6.970" Properties=species:S:1:pos:R:3 pbc="T T T"
Zn 0.000 0.000 0.000
Hg 0.000 0.000 10.380
Se 0.000 0.000 7.700
Se 0.000 0.000 18.434
```

Its density of states at the Fermi level is 0.01 states/eV/f.u.



A plane-wave DFT calculation with PBE-GGA was carried out for a relaxed structure of ZnHg2Se3.

Cell and atoms, written as extended XYZ:
```
12
Lattice="3.713 -6.474 0.000 3.713 6.474 0.000 -2.424 0.000 7.011" Properties=species:S:1:pos:R:3 pbc="T T T"
Zn 2.501 5.450 3.505
Zn 3.713 -5.450 0.000
Hg 3.732 3.310 0.007
Hg 2.499 1.093 3.506
Hg 3.711 -1.093 0.000
Hg 2.520 -3.310 3.512
Se -0.024 0.935 2.510
Se -1.235 -0.935 6.015
Se 3.661 3.398 2.705
Se 2.649 1.100 6.210
Se 3.860 -1.100 2.704
Se 2.449 -3.398 6.210
```

Its density of states at the Fermi level is 0.52 states/eV/f.u.



A plane-wave DFT calculation with PBE-GGA was carried out for a relaxed structure of ZnHgSe2.

Cell and atoms, written as extended XYZ:
```
4
Lattice="3.446 0.000 0.000 0.000 5.658 0.000 -1.688 0.000 5.037" Properties=species:S:1:pos:R:3 pbc="T T T"
Zn 0.000 0.000 0.000
Hg -0.844 0.000 2.518
Se 0.073 2.829 3.900
Se 1.685 2.829 1.136
```

Its density of states at the Fermi level is 1.15 states/eV/f.u.



A plane-wave DFT calculation with PBE-GGA was carried out for a relaxed structure of Zn2HgSe.

Cell and atoms, written as extended XYZ:
```
4
Lattice="3.295 -1.907 0.000 3.295 1.907 0.000 -2.187 0.000 6.676" Properties=species:S:1:pos:R:3 pbc="T T T"
Zn 1.096 0.000 1.500
Zn 3.307 0.000 5.176
Hg -1.094 0.000 3.338
Se 3.295 0.000 0.000
```

Its density of states at the Fermi level is 1.61 states/eV/f.u. The value obtained for the excess energy over the best structure of this formula in the dataset is 0 meV/atom.



A plane-wave DFT calculation with PBE-GGA was carried out for a relaxed structure of Zn2HgSe.

Cell and atoms, written as extended XYZ:
```
4
Lattice="1.933 -3.246 0.000 1.933 3.246 0.000 0.000 0.000 7.315" Properties=species:S:1:pos:R:3 pbc="T T T"
Zn 0.000 0.000 1.658
Zn 0.000 0.000 5.657
Hg 1.933 0.000 3.658
Se 1.933 0.000 0.000
```

Its density of states at the Fermi level is 1.24 states/eV/f.u. The value obtained for the excess energy over the best structure of this formula in the dataset is 149 meV/atom.



A plane-wave DFT calculation with PBE-GGA was carried out for a relaxed structure of ZnHgSe2.

Cell and atoms, written as extended XYZ:
```
4
Lattice="0.000 3.490 3.490 3.490 0.000 3.490 3.490 3.490 0.000" Properties=species:S:1:pos:R:3 pbc="T T T"
Zn 0.000 0.000 0.000
Hg 3.490 3.490 3.490
Se 1.745 1.745 1.745
Se 5.235 5.235 5.235
```

Its density of states at the Fermi level is 3.99 states/eV/f.u.



What are the E_tot values for these records? In order: -5.21 -5.73 -80.25 -6.32 -5.44 -5.38 -10.26 -29.09 -7.90 -6.80 -6.21 -7.42 eV per cell.
What are the magnetization values for these records? In order: 0.00 0.00 0.00 0.00 0.00 0.00 0.00 0.00 0.00 0.00 0.00 0.00 μB per formula unit.
What are the E_form (uncorrected) values for these records? In order: 0.0383 0.1501 -0.3717 0.0043 -0.0194 -0.0045 -0.4296 -0.3689 0.1617 -0.1165 0.0323 0.2802 eV per atom.